# meta-GGA SCAN HfSeSN2, PBEsol geometry
# - Mass density: 8.0 g/cm3
# - Formation energy (no corrections): 0.88 eV per atom
# - Symmetry: P4/mmm
# - VASP energy: -21.3142 eV/atom
data_HfSeSN2
_cell_length_a 3.830
_cell_length_b 3.830
_cell_length_c 4.502
_cell_angle_alpha 90.00
_cell_angle_beta 90.00
_cell_angle_gamma 90.00
_space_group_name_H-M_alt 'P 1'
_space_group_IT_number 1
loop_
_space_group_symop_operation_xyz
'x,y,z'
loop_
_atom_site_label
_atom_site_type_symbol
_atom_site_fract_x
_atom_site_fract_y
_atom_site_fract_z
S1 S 0.000 0.000 0.500
Hf1 Hf 0.500 0.500 0.500
Se1 Se 0.000 0.000 0.000
N1 N 0.000 0.500 0.000
N2 N 0.500 0.000 0.000